1.
Below is a relaxed structure of CuAu4, with properties calculated at the PBE-GGA level.

Cell and atoms, written as POSCAR:
```
CuAu4
1.0
6.424 0.000 0.000
0.000 6.424 0.000
0.000 0.000 4.135
Cu Au
2 8
direct
0.000 0.000 0.000
0.500 0.500 0.500
0.104 0.704 0.500
0.204 0.396 0.000
0.296 0.104 0.500
0.396 0.796 0.000
0.604 0.204 0.000
0.704 0.896 0.500
0.796 0.604 0.000
0.896 0.296 0.500
```

Values from the calculation:
- DFT total energy: -3.4497 eV/atom
- Energy above the most stable polymorph in this dataset: 15 meV/atom
- DFT formation energy: -0.009 eV per atom
- Density: 16.57 g/cm3
- Space group: No. 87

=====

2.
Below is a relaxed structure of Cu3Au4, with properties calculated at the PBE-GGA level.

Cell and atoms, written as POSCAR:
```
Cu3Au4
1.0
3.057 0.000 0.000
0.000 3.057 0.000
0.000 0.000 23.252
Cu Au
6 8
direct
0.000 0.000 0.000
0.000 0.000 0.278
0.000 0.000 0.722
0.500 0.500 0.222
0.500 0.500 0.500
0.500 0.500 0.778
0.000 0.000 0.154
0.000 0.000 0.432
0.000 0.000 0.568
0.000 0.000 0.846
0.500 0.500 0.068
0.500 0.500 0.346
0.500 0.500 0.654
0.500 0.500 0.932
```

Values from the calculation:
- DFT total energy: -3.6513 eV/atom
- Energy above the most stable polymorph in this dataset: 0 meV/atom
- DFT formation energy: -0.023 eV per atom
- Density: 14.96 g/cm3
- Space group: No. 139

=====

3.
Below is a relaxed structure of Cu5Au7, with properties calculated at the PBE-GGA level.

Cell and atoms, written as POSCAR:
```
Cu5Au7
1.0
7.089 -1.426 0.000
7.089 1.426 0.000
-6.041 0.000 9.321
Cu Au
5 7
direct
0.000 0.000 0.000
0.169 0.169 0.496
0.286 0.286 0.281
0.714 0.714 0.719
0.831 0.831 0.504
0.070 0.070 0.762
0.326 0.326 0.967
0.383 0.383 0.743
0.500 0.500 0.500
0.617 0.617 0.257
0.674 0.674 0.033
0.930 0.930 0.238
```

Values from the calculation:
- DFT total energy: -3.6355 eV/atom
- Energy above the most stable polymorph in this dataset: 0 meV/atom
- DFT formation energy: -0.017 eV per atom
- Density: 14.95 g/cm3
- Space group: No. 12

=====

4.
Below is a relaxed structure of CuAu3, with properties calculated at the PBE-GGA level.

Cell and atoms, written as POSCAR:
```
CuAu3
1.0
9.381 0.000 0.000
0.000 2.969 0.000
-1.229 0.000 4.836
Cu Au
2 6
direct
0.000 0.000 0.000
0.500 0.500 0.000
0.000 0.500 0.500
0.238 0.500 0.238
0.262 0.000 0.762
0.500 0.000 0.500
0.738 0.000 0.238
0.762 0.500 0.762
```

Values from the calculation:
- DFT total energy: -3.4680 eV/atom
- DFT formation energy: 0.014 eV per atom
- Density: 16.14 g/cm3
- Space group: No. 12

=====

5.
Below is a relaxed structure of Cu3Au, with properties calculated at the PBE-GGA level.

Cell and atoms, written as POSCAR:
```
Cu3Au
1.0
8.722 0.000 0.000
0.000 2.752 0.000
-0.914 0.000 4.563
Cu Au
6 2
direct
0.000 0.000 0.000
0.245 0.500 0.233
0.255 0.000 0.767
0.500 0.500 0.000
0.745 0.000 0.233
0.755 0.500 0.767
0.000 0.500 0.500
0.500 0.000 0.500
```

Values from the calculation:
- DFT total energy: -3.8780 eV/atom
- DFT formation energy: 0.013 eV per atom
- Density: 11.75 g/cm3
- Space group: No. 12

=====

6.
Below is a relaxed structure of CuAu5, with properties calculated at the PBE-GGA level.

Cell and atoms, written as POSCAR:
```
CuAu5
1.0
3.929 0.000 0.000
0.000 12.482 0.000
0.000 0.000 4.217
Cu Au
2 10
direct
0.000 0.000 0.000
0.500 0.500 0.000
0.000 0.164 0.500
0.000 0.341 0.000
0.000 0.500 0.500
0.000 0.659 0.000
0.000 0.836 0.500
0.500 0.000 0.500
0.500 0.159 0.000
0.500 0.336 0.500
0.500 0.664 0.500
0.500 0.841 0.000
```

Values from the calculation:
- DFT total energy: -3.4218 eV/atom
- Energy above the most stable polymorph in this dataset: 5 meV/atom
- DFT formation energy: -0.008 eV per atom
- Density: 16.84 g/cm3
- Space group: No. 65

=====

7.
Below is a relaxed structure of Cu13Au2, with properties calculated at the PBE-GGA level.

Cell and atoms, written as POSCAR:
```
Cu13Au2
1.0
3.416 1.972 6.077
-3.416 1.972 6.077
0.000 -3.945 6.077
Cu Au
13 2
direct
0.000 0.000 0.000
0.012 0.012 0.653
0.012 0.653 0.012
0.231 0.231 0.604
0.231 0.604 0.231
0.347 0.988 0.988
0.396 0.769 0.769
0.604 0.231 0.231
0.653 0.012 0.012
0.769 0.396 0.769
0.769 0.769 0.396
0.988 0.347 0.988
0.988 0.988 0.347
0.234 0.234 0.234
0.766 0.766 0.766
```

Values from the calculation:
- DFT total energy: -3.6974 eV/atom
- Energy above the most stable polymorph in this dataset: 294 meV/atom
- DFT formation energy: 0.290 eV per atom
- Density: 8.25 g/cm3
- Space group: No. 166

=====

8.
Below is a relaxed structure of CuAu3, with properties calculated at the PBE-GGA level.

Cell and atoms, written as POSCAR:
```
CuAu3
1.0
2.981 0.000 0.000
-1.491 2.582 0.000
0.000 0.000 26.361
Cu Au
3 9
direct
0.000 0.000 0.000
0.333 0.667 0.667
0.667 0.333 0.333
0.000 0.000 0.256
0.000 0.000 0.500
0.000 0.000 0.744
0.333 0.667 0.167
0.333 0.667 0.410
0.333 0.667 0.923
0.667 0.333 0.077
0.667 0.333 0.590
0.667 0.333 0.833
```

Values from the calculation:
- DFT total energy: -3.4494 eV/atom
- DFT formation energy: 0.033 eV per atom
- Density: 16.07 g/cm3
- Space group: No. 166

=====

9.
Below is a relaxed structure of Cu13Au2, with properties calculated at the PBE-GGA level.

Cell and atoms, written as POSCAR:
```
Cu13Au2
1.0
5.867 0.000 0.000
0.588 5.892 0.000
2.343 2.164 5.581
Cu Au
13 2
direct
0.000 0.000 0.000
0.070 0.747 0.394
0.204 0.192 0.203
0.270 0.941 0.598
0.343 0.674 0.000
0.394 0.393 0.392
0.474 0.127 0.797
0.526 0.873 0.203
0.606 0.607 0.608
0.657 0.326 0.000
0.730 0.059 0.402
0.796 0.808 0.797
0.930 0.253 0.606
0.142 0.466 0.788
0.858 0.534 0.212
```

Values from the calculation:
- DFT total energy: -3.9911 eV/atom
- Energy above the most stable polymorph in this dataset: 0 meV/atom
- DFT formation energy: -0.004 eV per atom
- Density: 10.50 g/cm3
- Space group: No. 2

=====

10.
Below is a relaxed structure of CuAu4, with properties calculated at the PBE-GGA level.

Cell and atoms, written as POSCAR:
```
CuAu4
1.0
2.953 0.000 0.000
-1.476 2.557 0.000
0.000 0.000 34.006
Cu Au
3 12
direct
0.000 0.000 0.000
0.333 0.667 0.667
0.667 0.333 0.333
0.000 0.000 0.202
0.000 0.000 0.394
0.000 0.000 0.606
0.000 0.000 0.798
0.333 0.667 0.061
0.333 0.667 0.273
0.333 0.667 0.465
0.333 0.667 0.868
0.667 0.333 0.132
0.667 0.333 0.535
0.667 0.333 0.727
0.667 0.333 0.939
```

Values from the calculation:
- DFT total energy: -3.4308 eV/atom
- Energy above the most stable polymorph in this dataset: 34 meV/atom
- DFT formation energy: 0.010 eV per atom
- Density: 16.52 g/cm3
- Space group: No. 166